1.
Crystalline HgW4 at its relaxed geometry, computed with PBE.

Output
As for the total magnetic moment: 0.00 μB/f.u. The calculation puts the formation enthalpy at 0 K at 95.27 kJ per mole of atoms. For the energy above the most stable polymorph in this dataset, the calculation gives 393 meV per atom.

Cell and atoms, written as extended XYZ:
```
5
Lattice="-1.465 3.997 4.848 -5.940 1.086 2.273 4.036 -4.763 -1.628" Properties=species:S:1:pos:R:3 pbc="T T T"
W -2.803 -0.568 2.103
W -2.828 1.941 2.720
W -4.577 3.142 4.402
W -0.566 0.887 3.390
Hg 0.000 0.000 0.000
```

2.
Crystalline Hg2W at its relaxed geometry, computed with PBE.

Output
As for the total magnetic moment: 0.00 μB/f.u. The calculation puts the formation enthalpy at 0 K at 69.61 kJ per mole of atoms. For the energy above the most stable polymorph in this dataset, the calculation gives 336 meV per atom.

Cell and atoms, written as extended XYZ:
```
6
Lattice="-3.575 3.575 2.611 3.575 -3.575 2.611 3.575 3.575 -2.611" Properties=species:S:1:pos:R:3 pbc="T T T"
Hg 1.314 2.261 0.000
Hg 4.888 1.314 0.000
Hg 2.261 1.314 2.611
Hg -1.314 2.261 2.611
W 0.000 0.000 1.306
W 0.000 0.000 3.917
```

3.
Crystalline HgW3 at its relaxed geometry, computed with PBE.

Output
As for the total magnetic moment: 0.00 μB/f.u. The calculation puts the formation enthalpy at 0 K at 55.40 kJ per mole of atoms. For the energy above the most stable polymorph in this dataset, the calculation gives 143 meV per atom.

Cell and atoms, written as extended XYZ:
```
16
Lattice="-0.094 5.635 -1.326 -2.571 1.785 -4.871 -8.082 0.951 4.614" Properties=species:S:1:pos:R:3 pbc="T T T"
W -5.326 1.368 -0.129
W -1.332 3.710 -3.099
W -8.203 4.208 -1.011
W -8.246 6.797 -1.620
W -0.047 2.818 -0.663
W -2.501 1.575 0.037
W -3.682 2.395 -2.201
W -2.544 4.164 -0.573
W -1.285 0.893 -2.436
W -5.373 4.186 -0.792
W -4.088 3.293 1.644
W -7.065 5.977 0.618
Hg 0.000 0.000 0.000
Hg -6.949 3.187 1.395
Hg -4.041 0.476 2.307
Hg -3.797 5.185 -2.978
```

4.
Crystalline Hg2W at its relaxed geometry, computed with PBE.

Output
As for the total magnetic moment: 0.00 μB/f.u. The calculation puts the formation enthalpy at 0 K at 100.89 kJ per mole of atoms. For the energy above the most stable polymorph in this dataset, the calculation gives 660 meV per atom.

Cell and atoms, written as extended XYZ:
```
9
Lattice="4.280 -7.413 0.000 4.280 7.413 0.000 0.000 0.000 2.886" Properties=species:S:1:pos:R:3 pbc="T T T"
W 4.280 -2.471 0.000
W 4.280 2.471 0.000
W 0.000 0.000 1.443
Hg 2.558 -4.430 1.443
Hg 1.205 -2.086 0.000
Hg 1.205 2.086 0.000
Hg 6.150 0.000 0.000
Hg 3.444 0.000 1.443
Hg 2.558 4.430 1.443
```

5.
Crystalline HgW2 at its relaxed geometry, computed with PBE.

Output
As for the total magnetic moment: 0.00 μB/f.u. The calculation puts the formation enthalpy at 0 K at 75.81 kJ per mole of atoms. For the energy above the most stable polymorph in this dataset, the calculation gives 176 meV per atom.

Cell and atoms, written as extended XYZ:
```
6
Lattice="2.070 -2.425 4.764 4.115 -2.749 2.892 3.643 5.159 3.088" Properties=species:S:1:pos:R:3 pbc="T T T"
Hg 0.909 0.884 0.841
Hg 8.919 -0.899 9.903
W 4.064 0.886 4.288
W 5.764 -0.900 6.456
W 2.382 -0.807 2.744
W 7.445 0.792 8.000
```

6.
Crystalline Hg3W2 at its relaxed geometry, computed with PBE.

Output
As for the total magnetic moment: 0.00 μB/f.u. The calculation puts the formation enthalpy at 0 K at 79.06 kJ per mole of atoms. For the energy above the most stable polymorph in this dataset, the calculation gives 0 meV per atom.

Cell and atoms, written as extended XYZ:
```
5
Lattice="-4.675 0.328 0.027 2.065 -4.119 0.854 0.117 1.215 5.581" Properties=species:S:1:pos:R:3 pbc="T T T"
Hg -2.358 -0.427 3.642
Hg 0.000 0.000 0.000
Hg -0.135 -2.149 2.819
W -0.074 -1.526 5.681
W -2.418 -1.050 0.780
```